(1)
DFT (PBE) results for crystalline InTe at its relaxed geometry.

```
data_InTe
_chemical_formula_sum 'In4 Te4'
_cell_length_a 4.4693
_cell_length_b 4.4693
_cell_length_c 20.1865
_cell_angle_alpha 90.00
_cell_angle_beta 90.00
_cell_angle_gamma 120.00
_symmetry_space_group_name_H-M 'P 63 m c'
_symmetry_Int_Tables_number 186
_symmetry_space_group_name_Hall 'P 6c -2c'
loop_
_atom_site_label
_atom_site_type_symbol
_atom_site_fract_x
_atom_site_fract_y
_atom_site_fract_z
In1 In 0.0000 0.0000 0.0000
In2 In 0.3333 0.6667 0.2203
Te1 Te 0.0000 0.0000 0.2862
Te2 Te 0.3333 0.6667 0.0828
```

Properties
* total magnetic moment: 0.0 μB/f.u.
* raw total energy: -25.3 eV for the cell shown

---

(2)
DFT (PBE) results for crystalline ScSbRh at its relaxed geometry.

```
data_ScSbRh
_chemical_formula_sum 'Sc2 Sb2 Rh2'
_cell_length_a 3.245
_cell_length_b 3.245
_cell_length_c 10.987
_cell_angle_alpha 90.00
_cell_angle_beta 90.00
_cell_angle_gamma 90.00
_symmetry_space_group_name_H-M 'I 4 m m'
_symmetry_Int_Tables_number 107
_symmetry_space_group_name_Hall 'I 4 -2'
loop_
_atom_site_label
_atom_site_type_symbol
_atom_site_fract_x
_atom_site_fract_y
_atom_site_fract_z
Sc1 Sc 0.000 0.000 0.000
Sb1 Sb 0.000 0.000 0.696
Rh1 Rh 0.000 0.000 0.351
```

Properties
* total magnetic moment: 0.0 μB/f.u.
* raw total energy: -39.1 eV for the cell shown
* Fermi-level density of states: 4.39 states/eV/cell

---

(3)
DFT (PBE) results for crystalline Ca2MgAu at its relaxed geometry.

```
data_Ca2MgAu
_chemical_formula_sum 'Ca2 Mg1 Au1'
_cell_length_a 3.734
_cell_length_b 3.703
_cell_length_c 7.907
_cell_angle_alpha 90.00
_cell_angle_beta 90.16
_cell_angle_gamma 90.00
_symmetry_space_group_name_H-M 'P 1 2/m 1'
_symmetry_Int_Tables_number 10
loop_
_symmetry_equiv_pos_as_xyz
'x,y,z'
'-x,-y,-z'
'-x,y,-z'
'x,-y,z'
loop_
_atom_site_label
_atom_site_type_symbol
_atom_site_fract_x
_atom_site_fract_y
_atom_site_fract_z
Ca1 Ca 0.000 0.000 0.219
Mg1 Mg 0.500 0.500 0.500
Au1 Au 0.500 0.500 0.000
```

Properties
* total magnetic moment: 0.0 μB/f.u.
* raw total energy: -10.6 eV for the cell shown
* Fermi-level density of states: 3.24 states/eV/cell

---

(4)
DFT (PBE) results for crystalline SrPrAgPt at its relaxed geometry.

```
data_SrPrAgPt
_chemical_formula_sum 'Sr4 Pr4 Ag4 Pt4'
_cell_length_a 7.448
_cell_length_b 7.448
_cell_length_c 7.448
_cell_angle_alpha 90.00
_cell_angle_beta 90.00
_cell_angle_gamma 90.00
_symmetry_space_group_name_H-M 'F -4 3 m'
_symmetry_Int_Tables_number 216
_symmetry_space_group_name_Hall 'F -4 2 3'
loop_
_atom_site_label
_atom_site_type_symbol
_atom_site_fract_x
_atom_site_fract_y
_atom_site_fract_z
Sr1 Sr 0.000 0.000 0.000
Pr1 Pr 0.000 0.000 0.500
Ag1 Ag 0.250 0.250 0.750
Pt1 Pt 0.250 0.250 0.250
```

Properties
* total magnetic moment: 0.0 μB/f.u.
* raw total energy: -70.4 eV for the cell shown
* Fermi-level density of states: 15.81 states/eV/cell

---

(5)
DFT (PBE) results for crystalline LiErCdIr at its relaxed geometry.

```
data_LiErCdIr
_chemical_formula_sum 'Li4 Er4 Cd4 Ir4'
_cell_length_a 6.704
_cell_length_b 6.704
_cell_length_c 6.704
_cell_angle_alpha 90.00
_cell_angle_beta 90.00
_cell_angle_gamma 90.00
_symmetry_space_group_name_H-M 'F -4 3 m'
_symmetry_Int_Tables_number 216
_symmetry_space_group_name_Hall 'F -4 2 3'
loop_
_atom_site_label
_atom_site_type_symbol
_atom_site_fract_x
_atom_site_fract_y
_atom_site_fract_z
Li1 Li 0.000 0.000 0.000
Er1 Er 0.250 0.250 0.750
Cd1 Cd 0.250 0.250 0.250
Ir1 Ir 0.000 0.000 0.500
```

Properties
* total magnetic moment: 0.0 μB/f.u.
* raw total energy: -71.8 eV for the cell shown
* Fermi-level density of states: 6.14 states/eV/cell

---

(6)
DFT (PBE) results for crystalline Ti7Nb5Sn at its relaxed geometry.

```
data_Ti7Nb5Sn
_chemical_formula_sum 'Ti14 Nb10 Sn2'
_cell_length_a 5.471
_cell_length_b 9.541
_cell_length_c 9.382
_cell_angle_alpha 90.00
_cell_angle_beta 90.00
_cell_angle_gamma 90.00
_symmetry_space_group_name_H-M 'I m m 2'
_symmetry_Int_Tables_number 44
loop_
_symmetry_equiv_pos_as_xyz
'x,y,z'
'-x,-y,z'
'-x,y,z'
'x,-y,z'
'x+1/2,y+1/2,z+1/2'
'-x+1/2,-y+1/2,z+1/2'
'-x+1/2,y+1/2,z+1/2'
'x+1/2,-y+1/2,z+1/2'
loop_
_atom_site_label
_atom_site_type_symbol
_atom_site_fract_x
_atom_site_fract_y
_atom_site_fract_z
Ti1 Ti 0.000 0.000 0.000
Ti2 Ti 0.000 0.000 0.336
Ti3 Ti 0.000 0.296 0.485
Ti4 Ti 0.000 0.347 0.981
Ti5 Ti 0.000 0.500 0.289
Nb1 Nb 0.000 0.500 0.693
Nb2 Nb 0.243 0.246 0.239
Sn1 Sn 0.000 0.000 0.639
```

Properties
* total magnetic moment: 0.0 μB/f.u.
* raw total energy: -215.3 eV for the cell shown
* Fermi-level density of states: 35.30 states/eV/cell

---

(7)
DFT (PBE) results for crystalline PmNd5SmEr2 at its relaxed geometry.

```
data_PmNd5SmEr2
_chemical_formula_sum 'Pm4 Nd20 Sm4 Er8'
_cell_length_a 5.700
_cell_length_b 20.457
_cell_length_c 10.712
_cell_angle_alpha 90.00
_cell_angle_beta 90.00
_cell_angle_gamma 90.00
_symmetry_space_group_name_H-M 'C m c 21'
_symmetry_Int_Tables_number 36
loop_
_symmetry_equiv_pos_as_xyz
'x,y,z'
'-x,-y,z+1/2'
'-x,y,z'
'x,-y,z+1/2'
'x+1/2,y+1/2,z'
'-x+1/2,-y+1/2,z+1/2'
'-x+1/2,y+1/2,z'
'x+1/2,-y+1/2,z+1/2'
loop_
_atom_site_label
_atom_site_type_symbol
_atom_site_fract_x
_atom_site_fract_y
_atom_site_fract_z
Pm1 Pm 0.000 0.200 0.000
Nd1 Nd 0.000 0.017 0.012
Nd2 Nd 0.000 0.281 0.300
Nd3 Nd 0.000 0.296 0.694
Nd4 Nd 0.000 0.391 0.016
Nd5 Nd 0.000 0.478 0.731
Sm1 Sm 0.000 0.412 0.443
Er1 Er 0.000 0.111 0.726
Er2 Er 0.000 0.117 0.310
```

Properties
* total magnetic moment: 0.0 μB/f.u.
* raw total energy: -164.5 eV for the cell shown
* Fermi-level density of states: 56.23 states/eV/cell

---

(8)
DFT (PBE) results for crystalline La3In5O12 at its relaxed geometry.

```
data_La3In5O12
_chemical_formula_sum 'La24 In40 O96'
_cell_length_a 13.487
_cell_length_b 13.487
_cell_length_c 13.487
_cell_angle_alpha 90.00
_cell_angle_beta 90.00
_cell_angle_gamma 90.00
_symmetry_space_group_name_H-M 'I a -3 d'
_symmetry_Int_Tables_number 230
_symmetry_space_group_name_Hall '-I 4bd 2c 3'
loop_
_atom_site_label
_atom_site_type_symbol
_atom_site_fract_x
_atom_site_fract_y
_atom_site_fract_z
La1 La 0.000 0.250 0.125
In1 In 0.000 0.000 0.000
In2 In 0.000 0.250 0.375
O1 O 0.023 0.059 0.651
```

Properties
* total magnetic moment: 0.0 μB/f.u.
* raw total energy: -1064.9 eV for the cell shown
* Fermi-level density of states: 0.00 states/eV/cell